## Cd5Pt (PBE-GGA)

Data for Cd5Pt after structural relaxation.

Summary:
- V: 22.45 Å³/atom
- Total magnetization: 0.00 μB/cell

Cell lengths 5.425, 5.425, 5.285 Å; angles 90.00, 90.00, 120.00 degrees
Atoms (fractional coordinates):
Cd (0.000, 0.500, 0.500)
Cd (0.333, 0.667, 0.000)
Cd (0.500, 0.000, 0.500)
Cd (0.500, 0.500, 0.500)
Cd (0.667, 0.333, 0.000)
Pt (0.000, 0.000, 0.000)

## Sr2Ca4Bi3Cl2 (PBE-GGA)

Data for Sr2Ca4Bi3Cl2 after structural relaxation.

Summary:
- Uncorrected formation energy: -1.1784 eV per atom
- V: 33.67 Å³/atom
- Total magnetization: 0.00 μB/cell

Cell lengths 5.332, 5.332, 13.562 Å; angles 101.34, 101.34, 90.00 degrees
Atoms (fractional coordinates):
Sr (0.298, 0.298, 0.596)
Sr (0.702, 0.702, 0.404)
Ca (0.421, 0.921, 0.841)
Ca (0.921, 0.421, 0.841)
Ca (0.079, 0.579, 0.159)
Ca (0.579, 0.079, 0.159)
Bi (0.000, 0.000, 0.000)
Bi (0.168, 0.168, 0.336)
Bi (0.832, 0.832, 0.664)
Cl (0.417, 0.417, 0.833)
Cl (0.583, 0.583, 0.167)

## In2CoSnTe (PBE-GGA)

Data for In2CoSnTe after structural relaxation.

Summary:
- Uncorrected formation energy: -0.0416 eV per atom
- V: 25.34 Å³/atom
- Total magnetization: 0.00 μB/cell

Cell lengths 5.065, 5.065, 4.938 Å; angles 90.00, 90.00, 90.00 degrees
Atoms (fractional coordinates):
Te (0.500, 0.500, 0.500)
Co (0.000, 0.000, 0.000)
Sn (0.000, 0.000, 0.500)
In (0.000, 0.500, 0.000)
In (0.500, 0.000, 0.000)

## Ba2IrRu (PBE-GGA)

Data for Ba2IrRu after structural relaxation.

Summary:
- V: 36.88 Å³/atom
- Total magnetization: 0.86 μB/cell

Cell lengths 4.377, 4.377, 9.195 Å; angles 76.54, 76.54, 60.40 degrees
Atoms (fractional coordinates):
Ru (0.194, 0.194, 0.376)
Ir (0.554, 0.554, 0.374)
Ba (0.957, 0.957, 0.126)
Ba (0.794, 0.794, 0.624)

## Ho3S4 (PBE-GGA)

Data for Ho3S4 after structural relaxation.

Summary:
- Energy above the lowest structure with this stoichiometry: 0 meV/atom
- Uncorrected formation energy: -2.0689 eV per atom
- V: 23.68 Å³/atom
- Total magnetization: 0.00 μB/cell

Cell lengths 3.907, 6.687, 6.687 Å; angles 108.43, 90.00, 90.00 degrees
Atoms (fractional coordinates):
Ho (0.000, 0.500, 0.000)
Ho (0.500, 0.000, 0.000)
Ho (0.000, 0.000, 0.500)
S (0.500, 0.747, 0.253)
S (0.000, 0.242, 0.242)
S (0.500, 0.253, 0.747)
S (0.000, 0.758, 0.758)

## BaCaSn4O8 (PBE-GGA)

Data for BaCaSn4O8 after structural relaxation.

Summary:
- Uncorrected formation energy: -1.7528 eV per atom
- V: 16.38 Å³/atom
- Total magnetization: 0.00 μB/cell

Cell lengths 6.130, 6.130, 7.047 Å; angles 90.00, 90.00, 120.00 degrees
Atoms (fractional coordinates):
Ba (0.000, 0.000, 0.000)
Ca (0.000, 0.000, 0.500)
Sn (0.333, 0.667, 0.714)
Sn (0.667, 0.333, 0.714)
Sn (0.333, 0.667, 0.286)
Sn (0.667, 0.333, 0.286)
O (0.306, 0.306, 0.708)
O (0.694, 0.000, 0.708)
O (0.000, 0.694, 0.708)
O (0.694, 0.694, 0.292)
O (0.000, 0.306, 0.292)
O (0.306, 0.000, 0.292)
O (0.333, 0.667, 0.000)
O (0.667, 0.333, 0.000)

## LiPm2P2N6 (PBE-GGA)

Data for LiPm2P2N6 after structural relaxation.

Summary:
- Uncorrected formation energy: -0.5948 eV per atom
- V: 13.35 Å³/atom
- Total magnetization: 0.00 μB/cell

Cell lengths 5.479, 5.479, 6.476 Å; angles 64.98, 64.98, 60.00 degrees
Atoms (fractional coordinates):
Li (0.000, 0.000, 0.000)
Pm (0.794, 0.794, 0.617)
Pm (0.206, 0.206, 0.383)
P (0.422, 0.422, 0.734)
P (0.578, 0.578, 0.266)
N (0.742, 0.742, 0.270)
N (0.245, 0.742, 0.270)
N (0.742, 0.245, 0.270)
N (0.258, 0.755, 0.730)
N (0.755, 0.258, 0.730)
N (0.258, 0.258, 0.730)

## Al3Ni9C (PBE-GGA)

Data for Al3Ni9C after structural relaxation.

Summary:
- V: 11.07 Å³/atom
- Total magnetization: 0.00 μB/cell

Cell lengths 3.697, 3.697, 10.525 Å; angles 90.00, 90.00, 90.00 degrees
Atoms (fractional coordinates):
Al (0.000, 0.000, 0.815)
Al (0.000, 0.000, 0.185)
Al (0.000, 0.000, 0.500)
Ni (0.500, 0.500, 0.824)
Ni (0.500, 0.500, 0.176)
Ni (0.500, 0.500, 0.500)
Ni (0.500, 0.000, 0.000)
Ni (0.500, 0.000, 0.340)
Ni (0.500, 0.000, 0.660)
Ni (0.000, 0.500, 0.000)
Ni (0.000, 0.500, 0.340)
Ni (0.000, 0.500, 0.660)
C (0.500, 0.500, 0.000)

## Na2Hg4Pd (PBE-GGA)

Data for Na2Hg4Pd after structural relaxation.

Summary:
- Energy above the lowest structure with this stoichiometry: 60 meV/atom
- V: 31.12 Å³/atom
- Total magnetization: 0.00 μB/cell

Cell lengths 5.336, 5.336, 8.532 Å; angles 108.22, 108.22, 90.00 degrees
Atoms (fractional coordinates):
Na (0.623, 0.623, 0.245)
Na (0.377, 0.377, 0.755)
Hg (0.819, 0.819, 0.639)
Hg (0.181, 0.181, 0.361)
Hg (0.000, 0.500, 0.000)
Hg (0.500, 0.000, 0.000)
Pd (0.000, 0.000, 0.000)

## Sc2TcHg (PBE-GGA)

Data for Sc2TcHg after structural relaxation.

Summary:
- V: 20.88 Å³/atom
- Total magnetization: 0.55 μB/cell

Cell lengths 9.589, 9.589, 9.589 Å; angles 19.22, 19.22, 19.22 degrees
Atoms (fractional coordinates):
Hg (0.756, 0.756, 0.756)
Sc (0.004, 0.004, 0.004)
Sc (0.237, 0.237, 0.237)
Tc (0.502, 0.502, 0.502)

| no. | electronic total energy (Ry per atom) | N(E_F) (states/eV per cell) |
| --- | --- | --- |
| 1 | -0.1127 | 2.34 |
| 2 | -0.2651 | 4.33 |
| 3 | -0.2930 | 3.45 |
| 4 | -0.4030 | 4.84 |
| 5 | -0.4696 | 2.45 |
| 6 | -0.4417 | 2.01 |
| 7 | -0.5260 | 3.41 |
| 8 | -0.4358 | 7.45 |
| 9 | -0.1036 | 3.11 |
| 10 | -0.4156 | 3.03 |